Entry 1:
This record from the Alexandria database describes a relaxed structure of MnAsP. The functional is PBE-GGA.

Cell lengths 3.086, 3.086, 5.244 Å; angles 90.00, 90.00, 120.00 degrees
Element x y z (fractional)
As: 0.000 0.000 0.027
Mn: 0.667 0.333 0.350
P: 0.333 0.667 0.622

## Properties
**Calculated total energy**: -6.47 eV/atom
**Excess energy over the best structure of this formula in the dataset**: 239.7 meV/atom

Entry 2:
This record from the Alexandria database describes a relaxed structure of MnAsP. The functional is PBE-GGA.

Cell lengths 6.109, 6.109, 6.109 Å; angles 153.25, 153.25, 38.19 degrees
Element x y z (fractional)
Mn: 0.322 0.322 0.000
P: 0.716 0.716 0.000
As: 0.962 0.962 0.000

## Properties
**Calculated total energy**: -6.45 eV/atom
**Excess energy over the best structure of this formula in the dataset**: 259.5 meV/atom

Entry 3:
This record from the Alexandria database describes a relaxed structure of MnAs3P. The functional is PBE-GGA.

Cell lengths 4.661, 4.661, 4.661 Å; angles 90.00, 90.00, 90.00 degrees
Element x y z (fractional)
Mn: 0.500 0.500 0.500
As: 0.000 0.500 0.000
As: 0.500 0.000 0.000
As: 0.000 0.000 0.500
P: 0.000 0.000 0.000

## Properties
**Calculated total energy**: -4.47 eV/atom
**Excess energy over the best structure of this formula in the dataset**: 668.2 meV/atom

Entry 4:
This record from the Alexandria database describes a relaxed structure of MnAs2P4. The functional is PBE-GGA.

Cell lengths 4.102, 4.102, 8.239 Å; angles 75.58, 75.58, 90.00 degrees
Element x y z (fractional)
P: 0.169 0.169 0.661
P: 0.500 0.000 0.000
P: 0.831 0.831 0.339
P: 0.000 0.500 0.000
As: 0.676 0.676 0.647
As: 0.324 0.324 0.353
Mn: 0.000 0.000 0.000

## Properties
**Calculated total energy**: -5.23 eV/atom

Entry 5:
This record from the Alexandria database describes a relaxed structure of MnAsP. The functional is PBE-GGA.

Cell lengths 7.477, 7.386, 2.745 Å; angles 81.23, 77.49, 21.27 degrees
Element x y z (fractional)
Mn: 0.326 0.326 0.674
P: 0.715 0.715 0.285
As: 0.959 0.959 0.041

## Properties
**Calculated total energy**: -6.36 eV/atom
**Excess energy over the best structure of this formula in the dataset**: 354.0 meV/atom

Entry 6:
This record from the Alexandria database describes a relaxed structure of MnAs3P. The functional is PBE-GGA.

Cell lengths 4.542, 4.542, 4.542 Å; angles 90.00, 90.00, 90.00 degrees
Element x y z (fractional)
As: 0.500 0.000 0.000
As: 0.000 0.000 0.500
As: 0.000 0.500 0.000
P: 0.500 0.500 0.500
Mn: 0.000 0.000 0.000

## Properties
**Calculated total energy**: -5.14 eV/atom
**Excess energy over the best structure of this formula in the dataset**: 0.0 meV/atom